Record 1
Below is a relaxed SrLaMo4 crystal, with properties calculated at the PBE level.

abc: 5.637 5.637 5.637
angles: 60.00 60.00 60.00
Element x y z (fractional)
Sr: 0.000 0.000 0.000
La: 0.750 0.750 0.750
Mo: 0.375 0.375 0.375
Mo: 0.375 0.375 0.874
Mo: 0.375 0.874 0.375
Mo: 0.874 0.375 0.375

For the mass density, the calculation gives 8.003 g/cm³. As for the energy relative to the elements: 0.55 eV/atom. Its space-group type is F-43m, No. 216.



Record 2
Below is a relaxed SrLa2Mo crystal, with properties calculated at the PBE level.

abc: 12.012 4.018 6.801
angles: 90.00 119.68 90.00
Element x y z (fractional)
Sr: 0.000 0.000 0.000
Sr: 0.500 0.500 0.000
La: 0.186 0.000 0.670
La: 0.367 0.000 0.377
La: 0.686 0.500 0.670
La: 0.867 0.500 0.377
Mo: 0.205 0.500 0.418
Mo: 0.705 0.000 0.418

As for the energy above the most stable polymorph in this dataset: 0.170 eV/atom. For the mass density, the calculation gives 5.373 g/cm³. As for the energy relative to the elements: 0.50 eV/atom. Its space-group type is Cm, No. 8.



Record 3
Below is a relaxed SrLa3Mo crystal, with properties calculated at the PBE level.

abc: 5.715 5.715 5.715
angles: 90.00 90.00 90.00
Element x y z (fractional)
Sr: 0.000 0.000 0.000
La: 0.000 0.500 0.500
La: 0.500 0.000 0.500
La: 0.500 0.500 0.000
Mo: 0.500 0.500 0.500

As for the energy above the most stable polymorph in this dataset: 0.000 eV/atom. For the mass density, the calculation gives 5.341 g/cm³. As for the energy relative to the elements: 0.22 eV/atom. Its space-group type is Pm-3m, No. 221.



Record 4
Below is a relaxed SrLaMo2 crystal, with properties calculated at the PBE level.

abc: 5.962 10.554 2.894
angles: 90.00 90.08 90.00
Element x y z (fractional)
Sr: 0.000 0.000 0.000
Sr: 0.500 0.500 0.000
La: 0.000 0.500 0.000
La: 0.500 0.000 0.000
Mo: 0.250 0.250 0.500
Mo: 0.250 0.750 0.500
Mo: 0.750 0.250 0.500
Mo: 0.750 0.750 0.500

As for the energy above the most stable polymorph in this dataset: 0.611 eV/atom. For the mass density, the calculation gives 7.631 g/cm³. As for the energy relative to the elements: 1.03 eV/atom. Its space-group type is C2/m, No. 12.



Record 5
Below is a relaxed SrLa2Mo crystal, with properties calculated at the PBE level.

abc: 7.061 11.242 3.325
angles: 90.00 117.31 90.00
Element x y z (fractional)
Sr: 0.000 0.000 0.000
Sr: 0.500 0.500 0.000
La: 0.250 0.250 0.500
La: 0.250 0.750 0.500
La: 0.750 0.250 0.500
La: 0.750 0.750 0.500
Mo: 0.000 0.500 0.000
Mo: 0.500 0.000 0.000

As for the energy above the most stable polymorph in this dataset: 0.456 eV/atom. For the mass density, the calculation gives 6.533 g/cm³. As for the energy relative to the elements: 0.78 eV/atom. Its space-group type is C2/m, No. 12.



Record 6
Below is a relaxed SrLa2Mo crystal, with properties calculated at the PBE level.

abc: 3.678 3.678 9.897
angles: 90.00 90.00 90.00
Element x y z (fractional)
Sr: 0.000 0.000 0.000
La: 0.500 0.500 0.325
La: 0.500 0.500 0.675
Mo: 0.000 0.000 0.500

As for the energy above the most stable polymorph in this dataset: 0.004 eV/atom. For the mass density, the calculation gives 5.722 g/cm³. As for the energy relative to the elements: 0.33 eV/atom. Its space-group type is P4/mmm, No. 123.